Record 1
The following is a meta-GGA SCAN calculation of Tl2HgRu at its PBEsol-relaxed geometry, from the Alexandria database.

Lattice parameters (Å, degrees): 6.0555 7.9480 3.3595 90.00 90.00 90.00
Fractional coordinates of all 8 atoms:
Tl 0.2500 0.2500 0.0000
Tl 0.2500 0.7500 0.0000
Tl 0.7500 0.2500 0.0000
Tl 0.7500 0.7500 0.0000
Hg 0.0000 0.0000 0.5000
Hg 0.5000 0.5000 0.5000
Ru 0.0000 0.5000 0.5000
Ru 0.5000 0.0000 0.5000

Output
Formation energy in eV/atom: 0.62
SG: Cmmm, No. 65
V in Å³/cell: 161.7
DOS(E_F) in states/eV/f.u.: 2.4

=====

Record 2
The following is a meta-GGA SCAN calculation of Hg2RuW at its PBEsol-relaxed geometry, from the Alexandria database.

Lattice parameters (Å, degrees): 5.4301 8.5947 2.9063 90.00 90.00 90.00
Fractional coordinates of all 8 atoms:
Hg 0.2500 0.2500 0.0000
Hg 0.2500 0.7500 0.0000
Hg 0.7500 0.2500 0.0000
Hg 0.7500 0.7500 0.0000
Ru 0.0000 0.0000 0.5000
Ru 0.5000 0.5000 0.5000
W 0.0000 0.5000 0.5000
W 0.5000 0.0000 0.5000

Output
Formation energy in eV/atom: 0.90
SG: Cmmm, No. 65
Relative energy among the computed polymorphs in eV per formula unit: 0.50
V in Å³/cell: 135.6
DOS(E_F) in states/eV/f.u.: 3.5

=====

Record 3
The following is a meta-GGA SCAN calculation of Hg2RuW at its PBEsol-relaxed geometry, from the Alexandria database.

Lattice parameters (Å, degrees): 2.9021 2.9021 27.8220 90.00 90.00 120.00
Fractional coordinates of all 12 atoms:
Hg 0.0000 0.0000 0.2477
Hg 0.0000 0.0000 0.7523
Hg 0.3333 0.6667 0.4190
Hg 0.3333 0.6667 0.9143
Hg 0.6667 0.3333 0.0857
Hg 0.6667 0.3333 0.5810
Ru 0.0000 0.0000 0.5000
Ru 0.3333 0.6667 0.1667
Ru 0.6667 0.3333 0.8333
W 0.0000 0.0000 0.0000
W 0.3333 0.6667 0.6667
W 0.6667 0.3333 0.3333

Output
Formation energy in eV/atom: 0.77
SG: R-3m, No. 166
Relative energy among the computed polymorphs in eV per formula unit: 0.00
V in Å³/cell: 202.9
DOS(E_F) in states/eV/f.u.: 2.7

=====

Record 4
The following is a meta-GGA SCAN calculation of Hg2RuW at its PBEsol-relaxed geometry, from the Alexandria database.

Lattice parameters (Å, degrees): 3.9706 3.9706 8.5544 90.00 90.00 90.00
Fractional coordinates of all 8 atoms:
Hg 0.0000 0.5000 0.2500
Hg 0.0000 0.5000 0.7500
Hg 0.5000 0.0000 0.2500
Hg 0.5000 0.0000 0.7500
Ru 0.0000 0.0000 0.0000
Ru 0.5000 0.5000 0.5000
W 0.0000 0.0000 0.5000
W 0.5000 0.5000 0.0000

Output
Formation energy in eV/atom: 0.92
SG: I4/mmm, No. 139
Relative energy among the computed polymorphs in eV per formula unit: 0.59
V in Å³/cell: 134.9
DOS(E_F) in states/eV/f.u.: 3.6

=====

Record 5
The following is a meta-GGA SCAN calculation of YHgRu2 at its PBEsol-relaxed geometry, from the Alexandria database.

Lattice parameters (Å, degrees): 3.4028 3.4028 6.1260 90.00 90.00 90.00
Fractional coordinates of all 4 atoms:
Y 0.0000 0.0000 0.0000
Hg 0.0000 0.0000 0.5000
Ru 0.5000 0.5000 0.2712
Ru 0.5000 0.5000 0.7288

Output
Formation energy in eV/atom: 0.20
SG: P4/mmm, No. 123
V in Å³/cell: 70.9
DOS(E_F) in states/eV/f.u.: 4.8

=====

Record 6
The following is a meta-GGA SCAN calculation of YHg2Ru at its PBEsol-relaxed geometry, from the Alexandria database.

Lattice parameters (Å, degrees): 4.1658 4.1658 8.8657 90.00 90.00 90.00
Fractional coordinates of all 8 atoms:
Y 0.0000 0.0000 0.0000
Y 0.5000 0.5000 0.5000
Hg 0.0000 0.5000 0.2500
Hg 0.0000 0.5000 0.7500
Hg 0.5000 0.0000 0.2500
Hg 0.5000 0.0000 0.7500
Ru 0.0000 0.0000 0.5000
Ru 0.5000 0.5000 0.0000

Output
Formation energy in eV/atom: -0.23
SG: I4/mmm, No. 139
Relative energy among the computed polymorphs in eV per formula unit: 0.00
V in Å³/cell: 153.9
DOS(E_F) in states/eV/f.u.: 1.9

=====

Record 7
The following is a meta-GGA SCAN calculation of YHgRu2 at its PBEsol-relaxed geometry, from the Alexandria database.

Lattice parameters (Å, degrees): 3.2728 4.8938 8.7595 90.00 90.00 90.00
Fractional coordinates of all 8 atoms:
Y 0.0000 0.0000 0.0000
Y 0.5000 0.5000 0.0000
Hg 0.0000 0.0000 0.5000
Hg 0.5000 0.5000 0.5000
Ru 0.0000 0.5000 0.2457
Ru 0.0000 0.5000 0.7543
Ru 0.5000 0.0000 0.2457
Ru 0.5000 0.0000 0.7543

Output
Formation energy in eV/atom: 0.46
SG: Cmmm, No. 65
V in Å³/cell: 140.3
DOS(E_F) in states/eV/f.u.: 3.7

=====

Record 8
The following is a meta-GGA SCAN calculation of YHg2Ru at its PBEsol-relaxed geometry, from the Alexandria database.

Lattice parameters (Å, degrees): 6.8035 6.8035 6.8035 90.00 90.00 90.00
Fractional coordinates of all 16 atoms:
Y 0.0000 0.0000 0.0000
Y 0.0000 0.5000 0.5000
Y 0.5000 0.0000 0.5000
Y 0.5000 0.5000 0.0000
Hg 0.0000 0.0000 0.5000
Hg 0.0000 0.5000 0.0000
Hg 0.2500 0.2500 0.2500
Hg 0.2500 0.7500 0.7500
Hg 0.5000 0.0000 0.0000
Hg 0.5000 0.5000 0.5000
Hg 0.7500 0.2500 0.7500
Hg 0.7500 0.7500 0.2500
Ru 0.2500 0.2500 0.7500
Ru 0.2500 0.7500 0.2500
Ru 0.7500 0.2500 0.2500
Ru 0.7500 0.7500 0.7500

Output
Formation energy in eV/atom: -0.02
SG: F-43m, No. 216
Relative energy among the computed polymorphs in eV per formula unit: 0.87
V in Å³/cell: 314.9
DOS(E_F) in states/eV/f.u.: 1.3

=====

Record 9
The following is a meta-GGA SCAN calculation of Zn2HgRu at its PBEsol-relaxed geometry, from the Alexandria database.

Lattice parameters (Å, degrees): 2.8530 2.8530 26.4289 90.00 90.00 120.00
Fractional coordinates of all 12 atoms:
Zn 0.0000 0.0000 0.0000
Zn 0.0000 0.0000 0.2544
Zn 0.3333 0.6667 0.6667
Zn 0.3333 0.6667 0.9210
Zn 0.6667 0.3333 0.3333
Zn 0.6667 0.3333 0.5877
Hg 0.0000 0.0000 0.4973
Hg 0.3333 0.6667 0.1639
Hg 0.6667 0.3333 0.8306
Ru 0.0000 0.0000 0.7419
Ru 0.3333 0.6667 0.4086
Ru 0.6667 0.3333 0.0752

Output
Formation energy in eV/atom: 0.29
SG: R3m, No. 160
V in Å³/cell: 186.3
DOS(E_F) in states/eV/f.u.: 2.0

=====

Record 10
The following is a meta-GGA SCAN calculation of ZrHg2Ru at its PBEsol-relaxed geometry, from the Alexandria database.

Lattice parameters (Å, degrees): 2.9995 2.9995 28.6086 90.00 90.00 120.00
Fractional coordinates of all 12 atoms:
Zr 0.0000 0.0000 0.0000
Zr 0.3333 0.6667 0.6667
Zr 0.6667 0.3333 0.3333
Hg 0.0000 0.0000 0.2449
Hg 0.0000 0.0000 0.7551
Hg 0.3333 0.6667 0.4218
Hg 0.3333 0.6667 0.9116
Hg 0.6667 0.3333 0.0884
Hg 0.6667 0.3333 0.5782
Ru 0.0000 0.0000 0.5000
Ru 0.3333 0.6667 0.1667
Ru 0.6667 0.3333 0.8333

Output
Formation energy in eV/atom: 0.25
SG: R-3m, No. 166
Relative energy among the computed polymorphs in eV per formula unit: 0.70
V in Å³/cell: 222.9
DOS(E_F) in states/eV/f.u.: 1.6

=====

Record 11
The following is a meta-GGA SCAN calculation of ZrHg2Ru at its PBEsol-relaxed geometry, from the Alexandria database.

Lattice parameters (Å, degrees): 6.6521 6.6521 6.6521 90.00 90.00 90.00
Fractional coordinates of all 16 atoms:
Zr 0.0000 0.0000 0.0000
Zr 0.0000 0.5000 0.5000
Zr 0.5000 0.0000 0.5000
Zr 0.5000 0.5000 0.0000
Hg 0.0000 0.0000 0.5000
Hg 0.0000 0.5000 0.0000
Hg 0.2500 0.2500 0.7500
Hg 0.2500 0.7500 0.2500
Hg 0.5000 0.0000 0.0000
Hg 0.5000 0.5000 0.5000
Hg 0.7500 0.2500 0.2500
Hg 0.7500 0.7500 0.7500
Ru 0.2500 0.2500 0.2500
Ru 0.2500 0.7500 0.7500
Ru 0.7500 0.2500 0.7500
Ru 0.7500 0.7500 0.2500

Output
Formation energy in eV/atom: 0.08
SG: F-43m, No. 216
Relative energy among the computed polymorphs in eV per formula unit: 0.00
V in Å³/cell: 294.4
DOS(E_F) in states/eV/f.u.: 2.5

=====

Record 12
The following is a meta-GGA SCAN calculation of HgSb2S2 at its PBEsol-relaxed geometry, from the Alexandria database.

Lattice parameters (Å, degrees): 8.2301 8.2301 3.6433 90.00 90.00 90.00
Fractional coordinates of all 10 atoms:
Hg 0.0000 0.0000 0.0000
Hg 0.5000 0.5000 0.0000
Sb 0.2064 0.2936 0.0000
Sb 0.2936 0.7936 0.0000
Sb 0.7064 0.2064 0.0000
Sb 0.7936 0.7064 0.0000
S 0.1432 0.6432 0.5000
S 0.3568 0.1432 0.5000
S 0.6432 0.8568 0.5000
S 0.8568 0.3568 0.5000

Output
SG: P4/mbm, No. 127
V in Å³/cell: 246.8
DOS(E_F) in states/eV/f.u.: 1.4
Formation energy without anion corrections in eV per formula unit: -0.19

=====

Record 13
The following is a meta-GGA SCAN calculation of HgSe2S at its PBEsol-relaxed geometry, from the Alexandria database.

Lattice parameters (Å, degrees): 5.3426 5.3426 14.3984 90.00 90.00 90.00
Fractional coordinates of all 16 atoms:
Hg 0.0000 0.0000 0.0000
Hg 0.0000 0.5000 0.2500
Hg 0.5000 0.0000 0.7500
Hg 0.5000 0.5000 0.5000
Se 0.1977 0.2500 0.6250
Se 0.2500 0.6977 0.8750
Se 0.2500 0.8023 0.3750
Se 0.3023 0.2500 0.1250
Se 0.6977 0.7500 0.1250
Se 0.7500 0.1977 0.3750
Se 0.7500 0.3023 0.8750
Se 0.8023 0.7500 0.6250
S 0.0000 0.0000 0.5000
S 0.0000 0.5000 0.7500
S 0.5000 0.0000 0.2500
S 0.5000 0.5000 0.0000

Output
SG: I-42d, No. 122
V in Å³/cell: 411.0
DOS(E_F) in states/eV/f.u.: 0.4
Formation energy without anion corrections in eV per formula unit: 1.08

=====

Record 14
The following is a meta-GGA SCAN calculation of YHgSe2S at its PBEsol-relaxed geometry, from the Alexandria database.

Lattice parameters (Å, degrees): 4.9898 4.9898 4.7984 90.00 90.00 90.00
Fractional coordinates of all 5 atoms:
Y 0.0000 0.0000 0.0000
Hg 0.5000 0.5000 0.0000
Se 0.0000 0.5000 0.5000
Se 0.5000 0.0000 0.5000
S 0.5000 0.5000 0.5000

Output
SG: P4/mmm, No. 123
V in Å³/cell: 119.5
DOS(E_F) in states/eV/f.u.: 2.0
Formation energy without anion corrections in eV per formula unit: -0.93

=====

Record 15
The following is a meta-GGA SCAN calculation of SiHgTe2S at its PBEsol-relaxed geometry, from the Alexandria database.

Lattice parameters (Å, degrees): 5.2749 5.2749 4.9036 90.00 90.00 90.00
Fractional coordinates of all 5 atoms:
Si 0.0000 0.0000 0.0000
Hg 0.5000 0.5000 0.0000
Te 0.0000 0.5000 0.5000
Te 0.5000 0.0000 0.5000
S 0.5000 0.5000 0.5000

Output
SG: P4/mmm, No. 123
V in Å³/cell: 136.4
DOS(E_F) in states/eV/f.u.: 1.4
Formation energy without anion corrections in eV per formula unit: 3.73

=====

Record 16
The following is a meta-GGA SCAN calculation of SnHgS2 at its PBEsol-relaxed geometry, from the Alexandria database.

Lattice parameters (Å, degrees): 3.6016 3.6016 29.7899 90.00 90.00 120.00
Fractional coordinates of all 12 atoms:
Sn 0.0000 0.0000 0.0000
Sn 0.3333 0.6667 0.6667
Sn 0.6667 0.3333 0.3333
Hg 0.0000 0.0000 0.5000
Hg 0.3333 0.6667 0.1667
Hg 0.6667 0.3333 0.8333
S 0.0000 0.0000 0.3835
S 0.0000 0.0000 0.6165
S 0.3333 0.6667 0.0502
S 0.3333 0.6667 0.2832
S 0.6667 0.3333 0.7168
S 0.6667 0.3333 0.9498

Output
SG: R-3m, No. 166
V in Å³/cell: 334.6
DOS(E_F) in states/eV/f.u.: 0.2
Formation energy without anion corrections in eV per formula unit: -1.04

=====

Record 17
The following is a meta-GGA SCAN calculation of SnHgS3 at its PBEsol-relaxed geometry, from the Alexandria database.

Lattice parameters (Å, degrees): 4.8931 4.8931 4.8931 90.00 90.00 90.00
Fractional coordinates of all 5 atoms:
Sn 0.0000 0.0000 0.0000
Hg 0.5000 0.5000 0.5000
S 0.0000 0.5000 0.5000
S 0.5000 0.0000 0.5000
S 0.5000 0.5000 0.0000

Output
SG: Pm-3m, No. 221
V in Å³/cell: 117.2
DOS(E_F) in states/eV/f.u.: 2.7
Formation energy without anion corrections in eV per formula unit: 2.55

=====

Record 18
The following is a meta-GGA SCAN calculation of SrHgS2 at its PBEsol-relaxed geometry, from the Alexandria database.

Lattice parameters (Å, degrees): 4.5533 4.5533 22.0995 90.00 90.00 120.00
Fractional coordinates of all 12 atoms:
Sr 0.0000 0.0000 0.0000
Sr 0.3333 0.6667 0.6667
Sr 0.6667 0.3333 0.3333
Hg 0.0000 0.0000 0.5000
Hg 0.3333 0.6667 0.1667
Hg 0.6667 0.3333 0.8333
S 0.0000 0.0000 0.3959
S 0.0000 0.0000 0.6041
S 0.3333 0.6667 0.0625
S 0.3333 0.6667 0.2708
S 0.6667 0.3333 0.7292
S 0.6667 0.3333 0.9375

Output
SG: R-3m, No. 166
V in Å³/cell: 396.8
DOS(E_F) in states/eV/f.u.: 0.0
Formation energy without anion corrections in eV per formula unit: -5.09

=====

Record 19
The following is a meta-GGA SCAN calculation of Ta3HgS at its PBEsol-relaxed geometry, from the Alexandria database.

Lattice parameters (Å, degrees): 4.9723 4.9723 4.9723 90.00 90.00 90.00
Fractional coordinates of all 5 atoms:
Ta 0.0000 0.0000 0.5000
Ta 0.0000 0.5000 0.0000
Ta 0.5000 0.0000 0.0000
Hg 0.0000 0.0000 0.0000
S 0.5000 0.5000 0.5000

Output
SG: Pm-3m, No. 221
V in Å³/cell: 122.9
DOS(E_F) in states/eV/f.u.: 4.9
Formation energy without anion corrections in eV per formula unit: 12.14

=====

Record 20
The following is a meta-GGA SCAN calculation of TaHgS2 at its PBEsol-relaxed geometry, from the Alexandria database.

Lattice parameters (Å, degrees): 3.2720 3.2720 27.6114 90.00 90.00 120.00
Fractional coordinates of all 12 atoms:
Ta 0.0000 0.0000 0.0000
Ta 0.3333 0.6667 0.6667
Ta 0.6667 0.3333 0.3333
Hg 0.0000 0.0000 0.5000
Hg 0.3333 0.6667 0.1667
Hg 0.6667 0.3333 0.8333
S 0.0000 0.0000 0.3899
S 0.0000 0.0000 0.6101
S 0.3333 0.6667 0.0566
S 0.3333 0.6667 0.2767
S 0.6667 0.3333 0.7233
S 0.6667 0.3333 0.9434

Output
SG: R-3m, No. 166
V in Å³/cell: 256.0
DOS(E_F) in states/eV/f.u.: 1.7
Formation energy without anion corrections in eV per formula unit: -3.14